# Sb2AsP (PBEsol, relaxed)
data_Sb2AsP
_cell_length_a 4.906
_cell_length_b 4.906
_cell_length_c 4.906
_cell_angle_alpha 60.00
_cell_angle_beta 60.00
_cell_angle_gamma 60.00
_space_group_name_H-M_alt 'P 1'
_space_group_IT_number 1
loop_
_space_group_symop_operation_xyz
'x,y,z'
loop_
_atom_site_label
_atom_site_type_symbol
_atom_site_fract_x
_atom_site_fract_y
_atom_site_fract_z
_atom_site_occupancy
P1 P 0.500 0.500 0.500 1
As1 As 0.000 0.000 0.000 1
Sb1 Sb 0.750 0.750 0.750 1
Sb2 Sb 0.250 0.250 0.250 1
# Energy above the most stable polymorph in this dataset ... 298 meV/atom
# Formation energy without anion corrections ... 334 meV per atom
# Magnetization ... 0.000 μB per atom
# Raw total energy ... -18.7 eV for the cell shown
# SG ... Fm-3m
# DOS at the Fermi energy ... 2.36 states/eV/f.u.